a:
CdSiPCl2 after structural relaxation, computed with PBE.

CIF file:
```
data_CdSiPCl2
_space_group_name_H-M_alt 'P 1'
_space_group_IT_number 1
_cell_length_a 4.669
_cell_length_b 4.938
_cell_length_c 4.669
_cell_angle_alpha 90.00
_cell_angle_beta 90.00
_cell_angle_gamma 90.00
loop_
_space_group_symop_operation_xyz
'x,y,z'
loop_
_atom_site_label
_atom_site_type_symbol
_atom_site_fract_x
_atom_site_fract_y
_atom_site_fract_z
P1 P 0.000 0.500 0.000
Si1 Si 0.000 0.000 0.000
Cd1 Cd 0.500 0.500 0.500
Cl1 Cl 0.000 0.000 0.500
Cl2 Cl 0.500 0.000 0.000
```

b:
CdSiPCl2 after structural relaxation, computed with PBE.

CIF file:
```
data_CdSiPCl2
_space_group_name_H-M_alt 'P 1'
_space_group_IT_number 1
_cell_length_a 4.972
_cell_length_b 4.972
_cell_length_c 5.328
_cell_angle_alpha 90.00
_cell_angle_beta 90.00
_cell_angle_gamma 90.00
loop_
_space_group_symop_operation_xyz
'x,y,z'
loop_
_atom_site_label
_atom_site_type_symbol
_atom_site_fract_x
_atom_site_fract_y
_atom_site_fract_z
Cl1 Cl 0.000 0.500 0.000
Cl2 Cl 0.500 0.000 0.000
P1 P 0.000 0.000 0.500
Cd1 Cd 0.000 0.000 0.000
Si1 Si 0.500 0.500 0.500
```

Least stable: b

a:
TaCdP2Cl after structural relaxation, computed with PBE.

CIF file:
```
data_TaCdP2Cl
_space_group_name_H-M_alt 'P 1'
_space_group_IT_number 1
_cell_length_a 4.870
_cell_length_b 4.870
_cell_length_c 4.820
_cell_angle_alpha 90.00
_cell_angle_beta 90.00
_cell_angle_gamma 90.00
loop_
_space_group_symop_operation_xyz
'x,y,z'
loop_
_atom_site_label
_atom_site_type_symbol
_atom_site_fract_x
_atom_site_fract_y
_atom_site_fract_z
P1 P 0.500 0.000 0.000
Cl1 Cl 0.000 0.000 0.500
P2 P 0.000 0.500 0.000
Cd1 Cd 0.000 0.000 0.000
Ta1 Ta 0.500 0.500 0.500
```

b:
TaCdP2Cl after structural relaxation, computed with PBE.

CIF file:
```
data_TaCdP2Cl
_space_group_name_H-M_alt 'P 1'
_space_group_IT_number 1
_cell_length_a 4.878
_cell_length_b 4.878
_cell_length_c 4.854
_cell_angle_alpha 90.00
_cell_angle_beta 90.00
_cell_angle_gamma 90.00
loop_
_space_group_symop_operation_xyz
'x,y,z'
loop_
_atom_site_label
_atom_site_type_symbol
_atom_site_fract_x
_atom_site_fract_y
_atom_site_fract_z
Cl1 Cl 0.000 0.000 0.500
P1 P 0.000 0.500 0.000
Ta1 Ta 0.000 0.000 0.000
P2 P 0.500 0.000 0.000
Cd1 Cd 0.500 0.500 0.500
```

Least stable: a

a:
TaCdPCl2 after structural relaxation, computed with PBE.

CIF file:
```
data_TaCdPCl2
_space_group_name_H-M_alt 'P 1'
_space_group_IT_number 1
_cell_length_a 4.835
_cell_length_b 4.835
_cell_length_c 5.416
_cell_angle_alpha 90.00
_cell_angle_beta 90.00
_cell_angle_gamma 90.00
loop_
_space_group_symop_operation_xyz
'x,y,z'
loop_
_atom_site_label
_atom_site_type_symbol
_atom_site_fract_x
_atom_site_fract_y
_atom_site_fract_z
Cd1 Cd 0.000 0.000 0.000
Cl1 Cl 0.000 0.500 0.000
P1 P 0.000 0.000 0.500
Cl2 Cl 0.500 0.000 0.000
Ta1 Ta 0.500 0.500 0.500
```

b:
TaCdPCl2 after structural relaxation, computed with PBE.

CIF file:
```
data_TaCdPCl2
_space_group_name_H-M_alt 'P 1'
_space_group_IT_number 1
_cell_length_a 4.841
_cell_length_b 4.841
_cell_length_c 4.995
_cell_angle_alpha 90.00
_cell_angle_beta 90.00
_cell_angle_gamma 90.00
loop_
_space_group_symop_operation_xyz
'x,y,z'
loop_
_atom_site_label
_atom_site_type_symbol
_atom_site_fract_x
_atom_site_fract_y
_atom_site_fract_z
P1 P 0.000 0.000 0.500
Cd1 Cd 0.500 0.500 0.500
Cl1 Cl 0.000 0.500 0.000
Ta1 Ta 0.000 0.000 0.000
Cl2 Cl 0.500 0.000 0.000
```

Least stable: a

a:
CdTePCl2 after structural relaxation, computed with PBE.

CIF file:
```
data_CdTePCl2
_space_group_name_H-M_alt 'P 1'
_space_group_IT_number 1
_cell_length_a 5.364
_cell_length_b 5.364
_cell_length_c 5.137
_cell_angle_alpha 90.00
_cell_angle_beta 90.00
_cell_angle_gamma 90.00
loop_
_space_group_symop_operation_xyz
'x,y,z'
loop_
_atom_site_label
_atom_site_type_symbol
_atom_site_fract_x
_atom_site_fract_y
_atom_site_fract_z
P1 P 0.000 0.000 0.500
Cl1 Cl 0.500 0.000 0.000
Te1 Te 0.000 0.000 0.000
Cd1 Cd 0.500 0.500 0.500
Cl2 Cl 0.000 0.500 0.000
```

b:
CdTePCl2 after structural relaxation, computed with PBE.

CIF file:
```
data_CdTePCl2
_space_group_name_H-M_alt 'P 1'
_space_group_IT_number 1
_cell_length_a 4.958
_cell_length_b 4.958
_cell_length_c 5.622
_cell_angle_alpha 90.00
_cell_angle_beta 90.00
_cell_angle_gamma 90.00
loop_
_space_group_symop_operation_xyz
'x,y,z'
loop_
_atom_site_label
_atom_site_type_symbol
_atom_site_fract_x
_atom_site_fract_y
_atom_site_fract_z
Cd1 Cd 0.000 0.000 0.000
P1 P 0.000 0.000 0.500
Te1 Te 0.500 0.500 0.500
Cl1 Cl 0.500 0.000 0.000
Cl2 Cl 0.000 0.500 0.000
```

Least stable: a

a:
TiCdPCl2 after structural relaxation, computed with PBE.

CIF file:
```
data_TiCdPCl2
_space_group_name_H-M_alt 'P 1'
_space_group_IT_number 1
_cell_length_a 4.670
_cell_length_b 4.670
_cell_length_c 5.100
_cell_angle_alpha 90.00
_cell_angle_beta 90.00
_cell_angle_gamma 90.00
loop_
_space_group_symop_operation_xyz
'x,y,z'
loop_
_atom_site_label
_atom_site_type_symbol
_atom_site_fract_x
_atom_site_fract_y
_atom_site_fract_z
Ti1 Ti 0.000 0.000 0.000
Cl1 Cl 0.000 0.500 0.000
P1 P 0.000 0.000 0.500
Cl2 Cl 0.500 0.000 0.000
Cd1 Cd 0.500 0.500 0.500
```

b:
TiCdPCl2 after structural relaxation, computed with PBE.

CIF file:
```
data_TiCdPCl2
_space_group_name_H-M_alt 'P 1'
_space_group_IT_number 1
_cell_length_a 4.903
_cell_length_b 4.903
_cell_length_c 5.376
_cell_angle_alpha 90.00
_cell_angle_beta 90.00
_cell_angle_gamma 90.00
loop_
_space_group_symop_operation_xyz
'x,y,z'
loop_
_atom_site_label
_atom_site_type_symbol
_atom_site_fract_x
_atom_site_fract_y
_atom_site_fract_z
Ti1 Ti 0.500 0.500 0.500
Cl1 Cl 0.000 0.500 0.000
Cl2 Cl 0.500 0.000 0.000
P1 P 0.000 0.000 0.500
Cd1 Cd 0.000 0.000 0.000
```

Least stable: b

a:
YCdPCl2 after structural relaxation, computed with PBE.

CIF file:
```
data_YCdPCl2
_space_group_name_H-M_alt 'P 1'
_space_group_IT_number 1
_cell_length_a 4.893
_cell_length_b 4.893
_cell_length_c 5.456
_cell_angle_alpha 90.00
_cell_angle_beta 90.00
_cell_angle_gamma 90.00
loop_
_space_group_symop_operation_xyz
'x,y,z'
loop_
_atom_site_label
_atom_site_type_symbol
_atom_site_fract_x
_atom_site_fract_y
_atom_site_fract_z
Cl1 Cl 0.500 0.000 0.000
Cl2 Cl 0.000 0.500 0.000
Cd1 Cd 0.000 0.000 0.000
Y1 Y 0.500 0.500 0.500
P1 P 0.000 0.000 0.500
```

b:
YCdPCl2 after structural relaxation, computed with PBE.

CIF file:
```
data_YCdPCl2
_space_group_name_H-M_alt 'P 1'
_space_group_IT_number 1
_cell_length_a 5.144
_cell_length_b 5.144
_cell_length_c 5.710
_cell_angle_alpha 90.00
_cell_angle_beta 90.00
_cell_angle_gamma 90.00
loop_
_space_group_symop_operation_xyz
'x,y,z'
loop_
_atom_site_label
_atom_site_type_symbol
_atom_site_fract_x
_atom_site_fract_y
_atom_site_fract_z
Cl1 Cl 0.000 0.500 0.000
Y1 Y 0.000 0.000 0.000
Cl2 Cl 0.500 0.000 0.000
Cd1 Cd 0.500 0.500 0.500
P1 P 0.000 0.000 0.500
```

Least stable: a